[1]
Entry from the Alexandria database: a geometry-optimized Ce3Sb2Br structure (PBE).

Structure (POSCAR):
```
Ce3Sb2Br
1.0
7.6503 -0.0230 -1.2786
-4.1214 6.4453 -1.2786
-0.0433 -0.0788 7.5817
Ce Sb Br
6 4 2
Direct
0.5846 0.9179 0.7521 Ce
0.0821 0.4154 0.2479 Ce
0.9167 0.5835 0.7507 Ce
0.2502 0.2500 0.7507 Ce
0.4165 0.0833 0.2493 Ce
0.7500 0.7498 0.2493 Ce
0.8333 0.1667 0.5000 Sb
0.3333 0.6667 0.0000 Sb
0.1672 0.8328 0.5000 Sb
0.4995 0.5006 0.5000 Sb
0.0003 0.9997 0.0000 Br
0.6664 0.3336 0.0000 Br
```

Summary:
* formation energy without anion corrections: -6.55 eV/f.u.
* uncorrected energy: -5.711 eV/atom
* calculated volume: 372 Å³/cell

=====

[2]
Entry from the Alexandria database: a geometry-optimized Ca2TaAg structure (PBE).

Structure (POSCAR):
```
Ca2TaAg
1.0
-3.2274 0.3599 -0.6864
-0.6854 -2.6976 1.8082
-1.0270 5.3932 7.6567
Ca Ag Ta
2 1 1
Direct
0.0000 0.0000 0.9453 Ca
0.5000 0.5000 0.2978 Ca
0.5000 0.5000 0.7159 Ag
0.0000 0.0000 0.5409 Ta
```

Summary:
* relative energy among the computed polymorphs: 40 meV per atom
* uncorrected energy: -4.293 eV/atom
* calculated volume: 104 Å³/cell

=====

[3]
Entry from the Alexandria database: a geometry-optimized Ba2TiZn structure (PBE).

Structure (POSCAR):
```
Ba2TiZn
1.0
9.2015 0.0000 0.0000
0.0000 9.2015 0.0000
4.6008 4.6008 3.4014
Zn Ba Ti
2 4 2
Direct
0.0000 0.0000 0.0000 Zn
0.7500 0.2500 0.5000 Zn
0.6501 0.1250 0.2500 Ba
0.0999 0.6250 0.2500 Ba
0.3750 0.3499 0.7500 Ba
0.8750 0.9001 0.7500 Ba
0.5000 0.5000 0.0000 Ti
0.2500 0.7500 0.5000 Ti
```

Summary:
* uncorrected energy: -2.604 eV/atom
* calculated volume: 288 Å³/cell